1.
Entry from Alexandria: a relaxed CsRuCl4 crystal (PBE-GGA).

```
data_CsRuCl4
_cell_length_a 17.6754
_cell_length_b 7.5730
_cell_length_c 5.2699
_cell_angle_alpha 90.00
_cell_angle_beta 104.09
_cell_angle_gamma 90.00
_symmetry_space_group_name_H-M 'C 1 2/m 1'
_symmetry_Int_Tables_number 12
_symmetry_space_group_name_Hall '-C 2y'
loop_
_atom_site_label
_atom_site_type_symbol
_atom_site_fract_x
_atom_site_fract_y
_atom_site_fract_z
Cs1 Cs 0.1946 0.0000 0.1849
Ru1 Ru 0.0448 0.5000 0.3667
Cl1 Cl 0.0000 0.3033 0.0000
Cl2 Cl 0.1106 0.2625 0.6080
Cl3 Cl 0.1742 0.5000 0.2098
```

Summary:
Formation energy (no corrections): -0.88 eV/atom
Relative energy among the computed polymorphs: 64.7 kJ/mol of formula units
Magnetization: 0.00 μB per atom
D(E_F): 16.84 states/eV per cell

---

2.
Entry from Alexandria: a relaxed ReTcP2 crystal (PBE-GGA).

```
data_ReTcP2
_cell_length_a 2.9248
_cell_length_b 2.9248
_cell_length_c 22.0698
_cell_angle_alpha 90.00
_cell_angle_beta 90.00
_cell_angle_gamma 120.00
_symmetry_space_group_name_H-M 'R -3 m'
_symmetry_Int_Tables_number 166
_symmetry_space_group_name_Hall '-R 3 2"'
loop_
_atom_site_label
_atom_site_type_symbol
_atom_site_fract_x
_atom_site_fract_y
_atom_site_fract_z
Re1 Re 0.0000 0.0000 0.0000
Tc1 Tc 0.0000 0.0000 0.5000
P1 P 0.0000 0.0000 0.2497
```

Summary:
Relative energy among the computed polymorphs: 86.4 kJ/mol of formula units
Magnetization: 0.00 μB per atom
D(E_F): 15.04 states/eV per cell

---

3.
Entry from Alexandria: a relaxed Tb2ReN3 crystal (PBE-GGA).

```
data_Tb2ReN3
_cell_length_a 3.3485
_cell_length_b 3.8605
_cell_length_c 12.6377
_cell_angle_alpha 90.00
_cell_angle_beta 90.00
_cell_angle_gamma 90.00
_symmetry_space_group_name_H-M 'I m m m'
_symmetry_Int_Tables_number 71
_symmetry_space_group_name_Hall '-I 2 2'
loop_
_atom_site_label
_atom_site_type_symbol
_atom_site_fract_x
_atom_site_fract_y
_atom_site_fract_z
Tb1 Tb 0.0000 0.0000 0.1509
Re1 Re 0.0000 0.0000 0.5000
N1 N 0.0000 0.0000 0.3369
N2 N 0.0000 0.5000 0.5000
```

Summary:
Formation energy (no corrections): -1.12 eV/atom
Magnetization: 0.00 μB per atom
D(E_F): 5.09 states/eV per cell

---

4.
Entry from Alexandria: a relaxed Sm2Dy3Y5 crystal (PBE-GGA).

```
data_Sm2Dy3Y5
_cell_length_a 10.7117
_cell_length_b 16.1345
_cell_length_c 9.3539
_cell_angle_alpha 90.00
_cell_angle_beta 124.89
_cell_angle_gamma 90.00
_symmetry_space_group_name_H-M 'C 1 2/c 1'
_symmetry_Int_Tables_number 15
_symmetry_space_group_name_Hall '-C 2yc'
loop_
_atom_site_label
_atom_site_type_symbol
_atom_site_fract_x
_atom_site_fract_y
_atom_site_fract_z
Sm1 Sm 0.1439 0.1239 0.0445
Dy1 Dy 0.0000 0.0257 0.2500
Dy2 Dy 0.1531 0.3780 0.5492
Y1 Y 0.0000 0.2290 0.2500
Y2 Y 0.0000 0.2736 0.7500
Y3 Y 0.0000 0.4731 0.7500
Y4 Y 0.2425 0.3808 0.2379
```

Summary:
Magnetization: 0.00 μB per atom
D(E_F): 76.33 states/eV per cell
Total DFT energy (no corrections): -5.368 eV/atom

---

5.
Entry from Alexandria: a relaxed ZrVH3 crystal (PBE-GGA).

```
data_ZrVH3
_cell_length_a 3.7151
_cell_length_b 3.7151
_cell_length_c 3.7151
_cell_angle_alpha 90.00
_cell_angle_beta 90.00
_cell_angle_gamma 90.00
_symmetry_space_group_name_H-M 'P m -3 m'
_symmetry_Int_Tables_number 221
_symmetry_space_group_name_Hall '-P 4 2 3'
loop_
_atom_site_label
_atom_site_type_symbol
_atom_site_fract_x
_atom_site_fract_y
_atom_site_fract_z
Zr1 Zr 0.0000 0.0000 0.0000
V1 V 0.5000 0.5000 0.5000
H1 H 0.0000 0.0000 0.5000
```

Summary:
Relative energy among the computed polymorphs: 245.8 kJ/mol of formula units
Magnetization: 0.39 μB per atom
D(E_F): 1.80 states/eV per cell

---

6.
Entry from Alexandria: a relaxed LaDyPuIn crystal (PBE-GGA).

```
data_LaDyPuIn
_cell_length_a 7.7762
_cell_length_b 7.7762
_cell_length_c 7.7762
_cell_angle_alpha 90.00
_cell_angle_beta 90.00
_cell_angle_gamma 90.00
_symmetry_space_group_name_H-M 'F -4 3 m'
_symmetry_Int_Tables_number 216
_symmetry_space_group_name_Hall 'F -4 2 3'
loop_
_atom_site_label
_atom_site_type_symbol
_atom_site_fract_x
_atom_site_fract_y
_atom_site_fract_z
La1 La 0.0000 0.0000 0.0000
Dy1 Dy 0.0000 0.0000 0.5000
Pu1 Pu 0.2500 0.2500 0.2500
In1 In 0.2500 0.2500 0.7500
```

Summary:
Magnetization: 1.67 μB per atom
D(E_F): 68.57 states/eV per cell
Total DFT energy (no corrections): -6.716 eV/atom

---

7.
Entry from Alexandria: a relaxed SmYPt10 crystal (PBE-GGA).

```
data_SmYPt10
_cell_length_a 4.4556
_cell_length_b 5.3902
_cell_length_c 9.2843
_cell_angle_alpha 90.00
_cell_angle_beta 90.00
_cell_angle_gamma 90.00
_symmetry_space_group_name_H-M 'P m m m'
_symmetry_Int_Tables_number 47
_symmetry_space_group_name_Hall '-P 2 2'
loop_
_atom_site_label
_atom_site_type_symbol
_atom_site_fract_x
_atom_site_fract_y
_atom_site_fract_z
Sm1 Sm 0.0000 0.0000 0.0000
Y1 Y 0.0000 0.5000 0.5000
Pt1 Pt 0.0000 0.0000 0.3347
Pt2 Pt 0.0000 0.5000 0.1686
Pt3 Pt 0.5000 0.0000 0.5000
Pt4 Pt 0.5000 0.2503 0.2507
Pt5 Pt 0.5000 0.5000 0.0000
```

Summary:
Magnetization: 0.00 μB per atom
D(E_F): 9.63 states/eV per cell
Total DFT energy (no corrections): -6.664 eV/atom

---

8.
Entry from Alexandria: a relaxed Y3Te2C crystal (PBE-GGA).

```
data_Y3Te2C
_cell_length_a 13.7078
_cell_length_b 5.9466
_cell_length_c 7.7542
_cell_angle_alpha 90.00
_cell_angle_beta 106.38
_cell_angle_gamma 90.00
_symmetry_space_group_name_H-M 'C 1 2/c 1'
_symmetry_Int_Tables_number 15
_symmetry_space_group_name_Hall '-C 2yc'
loop_
_atom_site_label
_atom_site_type_symbol
_atom_site_fract_x
_atom_site_fract_y
_atom_site_fract_z
Y1 Y 0.0000 0.0469 0.2500
Y2 Y 0.1228 0.5004 0.0618
Te1 Te 0.1796 0.0003 0.0901
C1 C 0.0000 0.4650 0.2500
```

Summary:
Formation energy (no corrections): -0.99 eV/atom
Relative energy among the computed polymorphs: 0.0 kJ/mol of formula units
Magnetization: 0.00 μB per atom
D(E_F): 8.32 states/eV per cell

---

9.
Entry from Alexandria: a relaxed Be2SiBr crystal (PBE-GGA).

```
data_Be2SiBr
_cell_length_a 7.0576
_cell_length_b 3.0780
_cell_length_c 6.9317
_cell_angle_alpha 90.00
_cell_angle_beta 120.25
_cell_angle_gamma 90.00
_symmetry_space_group_name_H-M 'C 1 2/m 1'
_symmetry_Int_Tables_number 12
_symmetry_space_group_name_Hall '-C 2y'
loop_
_atom_site_label
_atom_site_type_symbol
_atom_site_fract_x
_atom_site_fract_y
_atom_site_fract_z
Be1 Be 0.1287 0.0000 0.3235
Si1 Si 0.0000 0.5000 0.5000
Br1 Br 0.0000 0.5000 0.0000
```

Summary:
Formation energy (no corrections): 0.29 eV/atom
Relative energy among the computed polymorphs: 0.0 kJ/mol of formula units
Magnetization: 0.00 μB per atom
D(E_F): 2.33 states/eV per cell

---

10.
Entry from Alexandria: a relaxed Pr2In5Cu3 crystal (PBE-GGA).

```
data_Pr2In5Cu3
_cell_length_a 11.2484
_cell_length_b 12.6697
_cell_length_c 6.3801
_cell_angle_alpha 90.00
_cell_angle_beta 90.00
_cell_angle_gamma 90.00
_symmetry_space_group_name_H-M 'I b a m'
_symmetry_Int_Tables_number 72
_symmetry_space_group_name_Hall '-I 2 2c'
loop_
_atom_site_label
_atom_site_type_symbol
_atom_site_fract_x
_atom_site_fract_y
_atom_site_fract_z
Pr1 Pr 0.2428 0.1356 0.0000
In1 In 0.0000 0.0000 0.2500
In2 In 0.0000 0.2562 0.2500
In3 In 0.1510 0.3988 0.0000
Cu1 Cu 0.0000 0.5000 0.2500
Cu2 Cu 0.1250 0.1294 0.5000
```

Summary:
Magnetization: 0.00 μB per atom
D(E_F): 16.56 states/eV per cell
Total DFT energy (no corrections): -3.856 eV/atom

---

11.
Entry from Alexandria: a relaxed Ca3Zn crystal (PBE-GGA).

```
data_Ca3Zn
_cell_length_a 7.2103
_cell_length_b 7.2103
_cell_length_c 5.7147
_cell_angle_alpha 90.00
_cell_angle_beta 90.00
_cell_angle_gamma 120.00
_symmetry_space_group_name_H-M 'P 63/m m c'
_symmetry_Int_Tables_number 194
_symmetry_space_group_name_Hall '-P 6c 2c'
loop_
_atom_site_label
_atom_site_type_symbol
_atom_site_fract_x
_atom_site_fract_y
_atom_site_fract_z
Ca1 Ca 0.1731 0.3463 0.2500
Zn1 Zn 0.3333 0.6667 0.7500
```

Summary:
Relative energy among the computed polymorphs: 47.6 kJ/mol of formula units
Magnetization: 0.00 μB per atom
D(E_F): 9.62 states/eV per cell

---

12.
Entry from Alexandria: a relaxed KRuRh crystal (PBE-GGA).

```
data_KRuRh
_cell_length_a 2.8287
_cell_length_b 2.8287
_cell_length_c 7.8859
_cell_angle_alpha 90.00
_cell_angle_beta 90.00
_cell_angle_gamma 120.00
_symmetry_space_group_name_H-M 'P 3 m 1'
_symmetry_Int_Tables_number 156
_symmetry_space_group_name_Hall 'P 3 -2"'
loop_
_atom_site_label
_atom_site_type_symbol
_atom_site_fract_x
_atom_site_fract_y
_atom_site_fract_z
K1 K 0.0000 0.0000 0.0000
Ru1 Ru 0.6667 0.3333 0.6259
Rh1 Rh 0.3333 0.6667 0.3650
```

Summary:
Relative energy among the computed polymorphs: 100.0 kJ/mol of formula units
Magnetization: 0.00 μB per atom
D(E_F): 5.18 states/eV per cell